Entry 1:
Ag6Te2BrCl2 after structural relaxation. Source: the Alexandria database, functional PBE.

abc: 7.548 7.554 7.586
angles: 68.88 69.05 62.82
Space group P-1 (No. 2)
Inequivalent atoms, fractional coordinates:
Ag 0.023 0.025 0.225
Ag 0.165 0.560 0.376
Ag 0.441 0.833 0.623
Te 0.171 0.172 0.404
Br 0.500 0.500 0.500
Cl 0.245 0.757 0.000

Calculated values
energy relative to the elements, uncorrected: -0.210 eV/atom
total magnetic moment: 0.000 μB/atom
crystal system: triclinic
DOS at the Fermi energy: 0.6072 states/eV per atom


Entry 2:
CaDyAlHg after structural relaxation. Source: the Alexandria database, functional PBE.

abc: 3.629 3.629 7.717
angles: 90.00 90.00 90.00
Space group P4mm (No. 99)
Inequivalent atoms, fractional coordinates:
Ca 0.000 0.000 0.000
Dy 0.000 0.000 0.489
Al 0.500 0.500 0.256
Hg 0.500 0.500 0.740

Calculated values
total magnetic moment: 0.000 μB/atom
crystal system: tetragonal
formation enthalpy at 0 K: -412 meV per atom
DOS at the Fermi energy: 0.4354 states/eV per atom